# K4U3FeO12 (GGA+U, relaxed)
# Calculated total energy = -311.07 eV for the cell shown
data_K4U3FeO12
_chemical_formula_sum 'K8 U6 Fe2 O24'
_cell_length_a 8.473
_cell_length_b 8.473
_cell_length_c 8.473
_cell_angle_alpha 90.00
_cell_angle_beta 90.00
_cell_angle_gamma 90.00
_space_group_name_H-M_alt 'I m -3 m'
_space_group_IT_number 229
_space_group_name_Hall '-I 4 2 3'
loop_
_atom_site_label
_atom_site_type_symbol
_atom_site_fract_x
_atom_site_fract_y
_atom_site_fract_z
K1 K 0.250 0.250 0.250
U1 U 0.000 0.000 0.500
Fe1 Fe 0.000 0.000 0.000
O1 O 0.000 0.000 0.255
O2 O 0.000 0.250 0.500